## HfSb2TeBr (PBE)

Data for crystalline HfSb2TeBr at its relaxed geometry.

As for the total DFT energy (no corrections): -4.56 eV/atom. The calculation puts the magnetization at 0.00 μB/f.u. The uncorrected formation energy comes out at 0.042 eV per atom. Its energy above the most stable polymorph in this dataset is 0.000 eV/atom.

The space group is P4/mmm (No. 123) and the conventional cell measures 5.565, 5.565 and 5.425 Å, with angles of 90.00, 90.00 and 90.00 degrees. The distinct sites, in fractional coordinates, are Hf at (0.000, 0.000, 0.000), Sb at (0.000, 0.500, 0.000), Te at (0.000, 0.000, 0.500) and Br at (0.500, 0.500, 0.500).


## NdPd6Au4 (PBE)

Data for crystalline NdPd6Au4 at its relaxed geometry.

As for the total DFT energy (no corrections): -4.54 eV/atom. The calculation puts the magnetization at 0.00 μB/f.u. The value obtained for the formation energy is -0.09 eV/atom.

The space group is I-42m (No. 121) and the conventional cell measures 6.513, 6.513 and 10.455 Å, with angles of 90.00, 90.00 and 90.00 degrees. The distinct sites, in fractional coordinates, are Nd at (0.000, 0.000, 0.000), Pd at (0.000, 0.500, 0.000), Pd at (0.159, 0.159, 0.407) and Au at (0.236, 0.236, 0.674).


## SnHgMo2 (PBE)

Data for crystalline SnHgMo2 at its relaxed geometry.

As for the total DFT energy (no corrections): -5.53 eV/atom. The calculation puts the magnetization at 1.70 μB/f.u. Its energy above the most stable polymorph in this dataset is 0.353 eV/atom. The value obtained for the formation energy is 0.96 eV/atom.

The space group is I-42d (No. 122) and the conventional cell measures 7.573, 7.573 and 5.638 Å, with angles of 90.00, 90.00 and 90.00 degrees. The distinct sites, in fractional coordinates, are Sn at (0.000, 0.000, 0.000), Hg at (0.000, 0.000, 0.500) and Mo at (0.241, 0.750, 0.125).


## La2ZnAgAu6 (PBE)

Data for crystalline La2ZnAgAu6 at its relaxed geometry.

As for the total DFT energy (no corrections): -3.80 eV/atom. The calculation puts the magnetization at 0.00 μB/f.u. The value obtained for the formation energy is -0.43 eV/atom.

The space group is P-1 (No. 2) and the conventional cell measures 5.473, 6.910 and 7.249 Å, with angles of 82.97, 67.83 and 66.79 degrees. The distinct sites, in fractional coordinates, are La at (0.028, 0.232, 0.210), Zn at (0.500, 0.000, 0.500), Ag at (0.500, 0.500, 0.000), Au at (0.014, 0.214, 0.765), Au at (0.336, 0.415, 0.414) and Au at (0.483, 0.790, 0.237).


## KMgBr2 (PBE)

Data for crystalline KMgBr2 at its relaxed geometry.

As for the total DFT energy (no corrections): -2.59 eV/atom. The calculation puts the magnetization at 0.00 μB/f.u. The uncorrected formation energy comes out at -1.083 eV per atom. Its energy above the most stable polymorph in this dataset is 0.063 eV/atom.

The space group is I-42d (No. 122) and the conventional cell measures 6.777, 6.777 and 15.034 Å, with angles of 90.00, 90.00 and 90.00 degrees. The distinct sites, in fractional coordinates, are K at (0.000, 0.000, 0.000), Mg at (0.000, 0.000, 0.500) and Br at (0.182, 0.250, 0.625).


## Nd6BiSb5 (PBE)

Data for crystalline Nd6BiSb5 at its relaxed geometry.

As for the total DFT energy (no corrections): -5.57 eV/atom. The calculation puts the magnetization at 0.00 μB/f.u. The uncorrected formation energy comes out at -1.149 eV per atom.

The space group is C2/m (No. 12) and the conventional cell measures 7.862, 13.617 and 7.862 Å, with angles of 90.00, 109.49 and 90.00 degrees. The distinct sites, in fractional coordinates, are Nd at (0.247, 0.000, 0.251), Nd at (0.247, 0.168, 0.748), Bi at (0.000, 0.500, 0.000), Sb at (0.000, 0.000, 0.500), Sb at (0.000, 0.167, 0.000) and Sb at (0.000, 0.335, 0.500).


## TaCoP2 (PBE)

Data for crystalline TaCoP2 at its relaxed geometry.

As for the total DFT energy (no corrections): -7.53 eV/atom. The calculation puts the magnetization at 0.00 μB/f.u. Its energy above the most stable polymorph in this dataset is 0.424 eV/atom. The value obtained for the formation energy is -0.09 eV/atom.

The space group is I-42d (No. 122) and the conventional cell measures 5.438, 5.438 and 9.829 Å, with angles of 90.00, 90.00 and 90.00 degrees. The distinct sites, in fractional coordinates, are Ta at (0.000, 0.000, 0.000), Co at (0.000, 0.000, 0.500) and P at (0.209, 0.250, 0.625).


## SrY3Ir (PBE)

Data for crystalline SrY3Ir at its relaxed geometry.

As for the total DFT energy (no corrections): -5.96 eV/atom. The calculation puts the magnetization at 0.00 μB/f.u. Its energy above the most stable polymorph in this dataset is 0.395 eV/atom. The value obtained for the formation energy is 0.02 eV/atom.

The space group is I-4m2 (No. 119) and the conventional cell measures 6.043, 6.043 and 19.494 Å, with angles of 90.00, 90.00 and 90.00 degrees. The distinct sites, in fractional coordinates, are Sr at (0.000, 0.000, 0.204), Y at (0.000, 0.249, 0.376), Y at (0.000, 0.500, 0.534), Ir at (0.000, 0.000, 0.500) and Ir at (0.000, 0.500, 0.250).


## AcInSb2Pd5 (PBE)

Data for crystalline AcInSb2Pd5 at its relaxed geometry.

As for the total DFT energy (no corrections): -5.04 eV/atom. The calculation puts the magnetization at 0.00 μB/f.u. The uncorrected formation energy comes out at -0.479 eV per atom.

The space group is P4/mmm (No. 123) and the conventional cell measures 4.283, 4.283 and 11.662 Å, with angles of 90.00, 90.00 and 90.00 degrees. The distinct sites, in fractional coordinates, are Ac at (0.000, 0.000, 0.000), In at (0.000, 0.000, 0.500), Sb at (0.500, 0.500, 0.222), Pd at (0.000, 0.500, 0.354) and Pd at (0.500, 0.500, 0.000).


## Sc3CoHg (PBE)

Data for crystalline Sc3CoHg at its relaxed geometry.

As for the total DFT energy (no corrections): -5.43 eV/atom. The calculation puts the magnetization at 0.00 μB/f.u. Its energy above the most stable polymorph in this dataset is 0.151 eV/atom. The value obtained for the formation energy is -0.15 eV/atom.

The space group is Pm-3m (No. 221) and the conventional cell measures 4.817, 4.817 and 4.817 Å, with angles of 90.00, 90.00 and 90.00 degrees. The distinct sites, in fractional coordinates, are Sc at (0.000, 0.000, 0.500), Co at (0.000, 0.000, 0.000) and Hg at (0.500, 0.500, 0.500).


## Os2PbBr (PBE)

Data for crystalline Os2PbBr at its relaxed geometry.

As for the total DFT energy (no corrections): -6.47 eV/atom. The calculation puts the magnetization at 0.00 μB/f.u. The uncorrected formation energy comes out at 0.489 eV per atom. Its energy above the most stable polymorph in this dataset is 0.000 eV/atom.

The space group is Pm (No. 6) and the conventional cell measures 2.952, 3.461 and 8.826 Å, with angles of 90.00, 99.26 and 90.00 degrees. The distinct sites, in fractional coordinates, are Os at (0.000, 0.000, 0.000), Os at (0.434, 0.500, 0.863), Pb at (0.618, 0.500, 0.246) and Br at (0.321, 0.000, 0.628).


## Li5In2Pd2 (PBE)

Data for crystalline Li5In2Pd2 at its relaxed geometry.

As for the total DFT energy (no corrections): -3.11 eV/atom. The calculation puts the magnetization at 0.00 μB/f.u. The value obtained for the formation energy is -0.28 eV/atom.

The space group is Ima2 (No. 46) and the conventional cell measures 16.464, 7.596 and 4.947 Å, with angles of 90.00, 90.00 and 90.00 degrees. The distinct sites, in fractional coordinates, are Li at (0.102, 0.250, 0.000), Li at (0.154, 0.646, 0.249), Li at (0.250, 0.153, 0.751), In at (0.000, 0.000, 0.749), In at (0.250, 0.537, 0.750) and Pd at (0.082, 0.542, 0.749).